# MnTl3C2O6

MnTl3C2O6 after structural relaxation (PBE+U, the Alexandria database).

abc: 5.269 5.269 8.295
angles: 90.00 90.00 120.00
Element x y z (fractional)
Mn: 0.000 0.000 0.500
Tl: 0.000 0.000 0.000
O: 0.809 0.618 0.662
Tl: 0.333 0.667 0.810
O: 0.618 0.809 0.338
C: 0.333 0.667 0.343
C: 0.667 0.333 0.657
O: 0.382 0.191 0.662
Tl: 0.667 0.333 0.190
O: 0.191 0.382 0.338
O: 0.809 0.191 0.662
O: 0.191 0.809 0.338

Summary:
Magnetic moment (μB/cell): 4.97
D(E_F) (states/eV per cell): 3.7
Density (g cm⁻³): 6.56
Space group: P-3m1 (164)
Total DFT energy (no corrections) (eV per atom): -6.364